The following is a DFT calculation (PBE-GGA) of an optimized crystal structure of Dy2AlAu.

abc: 7.258 7.258 7.258
angles: 90.00 90.00 90.00
Space group Fm-3m (No. 225)
Unique sites:
Dy (0.250, 0.250, 0.250)
Al (0.000, 0.000, 0.000)
Au (0.000, 0.000, 0.500)

Its size of the total moment is 0.00 μB per atom. The value obtained for the calculated formation energy is -0.566 eV/atom. Its excess energy over the best structure of this formula in the dataset is 51.6 meV/atom.